Record 1
Density functional theory data (PBE) for crystalline Ca2UNi3H12 at its relaxed geometry.

a b c (Å): 5.984 5.984 5.984
angles (deg): 63.96 63.96 63.96
Element x y z (fractional)
Ca1 0.115 0.115 0.115
Ca2 0.885 0.885 0.885
U1 0.500 0.500 0.500
Ni1 0.000 0.500 0.500
Ni2 0.500 0.000 0.500
Ni3 0.500 0.500 0.000
H1 0.071 0.636 0.636
H2 0.236 0.236 0.612
H3 0.236 0.612 0.236
H4 0.364 0.364 0.929
H5 0.364 0.929 0.364
H6 0.388 0.764 0.764
H7 0.612 0.236 0.236
H8 0.636 0.071 0.636
H9 0.636 0.636 0.071
H10 0.764 0.388 0.764
H11 0.764 0.764 0.388
H12 0.929 0.364 0.364

Output
As for the calculated total energy: -4.267 eV/atom. As for the magnetic moment: 0.17 μB/atom.



Record 2
Density functional theory data (PBE) for crystalline Bi3O4F at its relaxed geometry.

a b c (Å): 9.857 9.857 9.857
angles (deg): 23.15 23.15 23.15
Element x y z (fractional)
Bi1 0.000 0.000 0.000
Bi2 0.225 0.225 0.225
Bi3 0.775 0.775 0.775
O1 0.093 0.093 0.093
O2 0.300 0.300 0.300
O3 0.700 0.700 0.700
O4 0.907 0.907 0.907
F1 0.500 0.500 0.500

Output
The value obtained for the raw formation energy is -1441 meV per atom. For the distance to the lowest polymorph of the same formula, the calculation gives 0.0 kJ/mol of formula units. As for the magnetic moment: 0.00 μB/atom.



Record 3
Density functional theory data (PBE) for crystalline Li2HgRu at its relaxed geometry.

a b c (Å): 4.888 4.888 4.888
angles (deg): 132.80 132.80 68.96
Element x y z (fractional)
Li1 0.250 0.750 0.500
Li2 0.750 0.250 0.500
Hg1 0.000 0.000 0.000
Ru1 0.500 0.500 0.000

Output
As for the magnetic moment: 0.00 μB/atom. The energy of formation from the pure elements comes out at 130 meV per atom.



Record 4
Density functional theory data (PBE) for crystalline PmYCuPt at its relaxed geometry.

a b c (Å): 5.002 5.002 5.002
angles (deg): 60.00 60.00 60.00
Element x y z (fractional)
Pm1 0.000 0.000 0.000
Y1 0.500 0.500 0.500
Cu1 0.750 0.750 0.750
Pt1 0.250 0.250 0.250

Output
For the distance to the lowest polymorph of the same formula, the calculation gives 18.1 kJ/mol of formula units. As for the magnetic moment: 0.00 μB/atom. The energy of formation from the pure elements comes out at -701 meV per atom.



Record 5
Density functional theory data (PBE) for crystalline Cd2GaSn2 at its relaxed geometry.

a b c (Å): 7.649 7.649 4.488
angles (deg): 90.00 90.00 90.00
Element x y z (fractional)
Cd1 0.165 0.335 0.000
Cd2 0.335 0.835 0.000
Cd3 0.665 0.165 0.000
Cd4 0.835 0.665 0.000
Ga1 0.000 0.000 0.500
Ga2 0.500 0.500 0.500
Sn1 0.143 0.643 0.500
Sn2 0.357 0.143 0.500
Sn3 0.643 0.857 0.500
Sn4 0.857 0.357 0.500

Output
For the distance to the lowest polymorph of the same formula, the calculation gives 0.0 kJ/mol of formula units. As for the magnetic moment: 0.00 μB/atom. The energy of formation from the pure elements comes out at 130 meV per atom.



Record 6
Density functional theory data (PBE) for crystalline Zr2Ga5Ni3 at its relaxed geometry.

a b c (Å): 12.011 12.011 6.422
angles (deg): 90.00 90.00 160.58
Element x y z (fractional)
Zr1 0.020 0.980 0.500
Zr2 0.328 0.672 0.529
Zr3 0.672 0.328 0.029
Zr4 0.980 0.020 0.000
Ga1 0.099 0.901 0.852
Ga2 0.207 0.793 0.327
Ga3 0.211 0.789 0.741
Ga4 0.379 0.621 0.002
Ga5 0.450 0.550 0.672
Ga6 0.550 0.450 0.172
Ga7 0.621 0.379 0.502
Ga8 0.789 0.211 0.241
Ga9 0.793 0.207 0.827
Ga10 0.901 0.099 0.352
Ni1 0.107 0.893 0.237
Ni2 0.276 0.724 0.036
Ni3 0.451 0.549 0.283
Ni4 0.549 0.451 0.783
Ni5 0.724 0.276 0.536
Ni6 0.893 0.107 0.737

Output
As for the magnetic moment: 0.00 μB/atom. The energy of formation from the pure elements comes out at -542 meV per atom.



Record 7
Density functional theory data (PBE) for crystalline BaBeCuF6 at its relaxed geometry.

a b c (Å): 5.099 5.292 5.540
angles (deg): 87.86 84.51 61.98
Element x y z (fractional)
Ba1 0.000 0.000 0.000
Be1 0.571 0.829 0.512
Cu1 0.275 0.425 0.499
F1 0.052 0.443 0.794
F2 0.286 0.049 0.376
F3 0.451 0.640 0.661
F4 0.479 0.432 0.202
F5 0.627 0.013 0.693
F6 0.847 0.687 0.329

Output
The value obtained for the raw formation energy is -2868 meV per atom. As for the magnetic moment: 0.11 μB/atom.



Record 8
Density functional theory data (PBE) for crystalline TbHo4Hg at its relaxed geometry.

a b c (Å): 3.556 3.556 13.978
angles (deg): 90.00 90.00 90.00
Element x y z (fractional)
Tb1 0.000 0.000 0.000
Ho1 0.000 0.000 0.356
Ho2 0.000 0.000 0.644
Ho3 0.500 0.500 0.178
Ho4 0.500 0.500 0.822
Hg1 0.500 0.500 0.500

Output
For the distance to the lowest polymorph of the same formula, the calculation gives 0.0 kJ/mol of formula units. As for the magnetic moment: 0.00 μB/atom. The energy of formation from the pure elements comes out at -143 meV per atom.



Repeat the sixth record exactly.
Density functional theory data (PBE) for crystalline Zr2Ga5Ni3 at its relaxed geometry.

a b c (Å): 12.011 12.011 6.422
angles (deg): 90.00 90.00 160.58
Element x y z (fractional)
Zr1 0.020 0.980 0.500
Zr2 0.328 0.672 0.529
Zr3 0.672 0.328 0.029
Zr4 0.980 0.020 0.000
Ga1 0.099 0.901 0.852
Ga2 0.207 0.793 0.327
Ga3 0.211 0.789 0.741
Ga4 0.379 0.621 0.002
Ga5 0.450 0.550 0.672
Ga6 0.550 0.450 0.172
Ga7 0.621 0.379 0.502
Ga8 0.789 0.211 0.241
Ga9 0.793 0.207 0.827
Ga10 0.901 0.099 0.352
Ni1 0.107 0.893 0.237
Ni2 0.276 0.724 0.036
Ni3 0.451 0.549 0.283
Ni4 0.549 0.451 0.783
Ni5 0.724 0.276 0.536
Ni6 0.893 0.107 0.737

Output
As for the magnetic moment: 0.00 μB/atom. The energy of formation from the pure elements comes out at -542 meV per atom.



Which value of magnetic moment does entry 4 give?
0.00 μB/atom



magnetic moment of number 5 (Cd2GaSn2)?
0.00 μB/atom



What did the sixth record say?
Density functional theory data (PBE) for crystalline Zr2Ga5Ni3 at its relaxed geometry.

a b c (Å): 12.011 12.011 6.422
angles (deg): 90.00 90.00 160.58
Element x y z (fractional)
Zr1 0.020 0.980 0.500
Zr2 0.328 0.672 0.529
Zr3 0.672 0.328 0.029
Zr4 0.980 0.020 0.000
Ga1 0.099 0.901 0.852
Ga2 0.207 0.793 0.327
Ga3 0.211 0.789 0.741
Ga4 0.379 0.621 0.002
Ga5 0.450 0.550 0.672
Ga6 0.550 0.450 0.172
Ga7 0.621 0.379 0.502
Ga8 0.789 0.211 0.241
Ga9 0.793 0.207 0.827
Ga10 0.901 0.099 0.352
Ni1 0.107 0.893 0.237
Ni2 0.276 0.724 0.036
Ni3 0.451 0.549 0.283
Ni4 0.549 0.451 0.783
Ni5 0.724 0.276 0.536
Ni6 0.893 0.107 0.737

Output
As for the magnetic moment: 0.00 μB/atom. The energy of formation from the pure elements comes out at -542 meV per atom.